# 1
Here is a geometry-optimized VZnH2 structure from Alexandria. Energies are from GGA-PBE.

Its crystal system is trigonal. The energy above the most stable polymorph in this dataset comes out at 0 meV/atom.

The space group is R3m (No. 160, hexagonal axes) and the conventional cell measures 2.8656, 2.8656 and 14.9500 Å, with angles of 90.00, 90.00 and 120.00 degrees. Symmetry generates all atoms from V at (0.0000, 0.0000, 0.0000), Zn at (0.0000, 0.0000, 0.8201), H at (0.0000, 0.0000, 0.3752) and H at (0.0000, 0.0000, 0.6115).



# 2
Here is a geometry-optimized VZn2H2 structure from Alexandria. Energies are from GGA-PBE.

Its crystal system is tetragonal. The energy above the most stable polymorph in this dataset comes out at 0 meV/atom.

The space group is P4/mbm (No. 127) and the conventional cell measures 5.3039, 5.3039 and 3.7754 Å, with angles of 90.00, 90.00 and 90.00 degrees. Symmetry generates all atoms from V at (0.0000, 0.0000, 0.0000), Zn at (0.2285, 0.2715, 0.5000) and H at (0.2111, 0.2889, 0.0000).



# 3
Here is a geometry-optimized VZnH2 structure from Alexandria. Energies are from GGA-PBE.

Its crystal system is trigonal. The energy above the most stable polymorph in this dataset comes out at 365 meV/atom.

The space group is R-3m (No. 166, hexagonal axes) and the conventional cell measures 2.9452, 2.9452 and 14.6154 Å, with angles of 90.00, 90.00 and 120.00 degrees. Symmetry generates all atoms from V at (0.0000, 0.0000, 0.0000), Zn at (0.0000, 0.0000, 0.5000) and H at (0.0000, 0.0000, 0.1177).



# 4
Here is a geometry-optimized V2ZnH structure from Alexandria. Energies are from GGA-PBE.

Its crystal system is tetragonal. The energy above the most stable polymorph in this dataset comes out at 206 meV/atom.

The space group is P4/mmm (No. 123) and the conventional cell measures 2.5500, 2.5500 and 6.6521 Å, with angles of 90.00, 90.00 and 90.00 degrees. Symmetry generates all atoms from V at (0.0000, 0.0000, 0.1855), Zn at (0.5000, 0.5000, 0.5000) and H at (0.5000, 0.5000, 0.0000).



# 5
Here is a geometry-optimized V3ZnH structure from Alexandria. Energies are from GGA-PBE.

Its crystal system is monoclinic. The energy above the most stable polymorph in this dataset comes out at 43 meV/atom.

The space group is P2_1/m (No. 11) and the conventional cell measures 2.5779, 8.0326 and 5.4617 Å, with angles of 90.00, 90.24 and 90.00 degrees. Symmetry generates all atoms from V at (0.0006, 0.0003, 0.2572), V at (0.4176, 0.2500, 0.9999), Zn at (0.4916, 0.7500, 0.4994) and H at (0.5000, 0.0000, 0.0000).



# 6
Here is a geometry-optimized Zr2VZnH structure from Alexandria. Energies are from GGA-PBE.

Its crystal system is tetragonal. Its total DFT energy (no corrections) is -0.4649 Ry/atom.

The space group is P4/mmm (No. 123) and the conventional cell measures 4.4535, 4.4535 and 3.8199 Å, with angles of 90.00, 90.00 and 90.00 degrees. Symmetry generates all atoms from Zr at (0.0000, 0.5000, 0.0000), V at (0.0000, 0.0000, 0.5000), Zn at (0.5000, 0.5000, 0.5000) and H at (0.0000, 0.0000, 0.0000).



# 7
Here is a geometry-optimized ZrVH2 structure from Alexandria. Energies are from GGA-PBE.

Its crystal system is trigonal. The energy above the most stable polymorph in this dataset comes out at 33 meV/atom.

The space group is R-3m (No. 166, hexagonal axes) and the conventional cell measures 3.0935, 3.0935 and 14.3103 Å, with angles of 90.00, 90.00 and 120.00 degrees. Symmetry generates all atoms from Zr at (0.0000, 0.0000, 0.0000), V at (0.0000, 0.0000, 0.5000) and H at (0.0000, 0.0000, 0.2327).



# 8
Here is a geometry-optimized Zr5V3H12 structure from Alexandria. Energies are from GGA-PBE.

Its crystal system is cubic. Its total DFT energy (no corrections) is -0.4230 Ry/atom.

The space group is Ia-3d (No. 230) and the conventional cell measures 11.4192, 11.4192 and 11.4192 Å, with angles of 90.00, 90.00 and 90.00 degrees. Symmetry generates all atoms from Zr at (0.0000, 0.0000, 0.0000), Zr at (0.0000, 0.2500, 0.3750), V at (0.0000, 0.2500, 0.1250) and H at (0.0061, 0.0750, 0.1595).



# 9
Here is a geometry-optimized ZrVH2 structure from Alexandria. Energies are from GGA-PBE.

Its crystal system is monoclinic. The energy above the most stable polymorph in this dataset comes out at 0 meV/atom.

The space group is P2_1/m (No. 11) and the conventional cell measures 5.2722, 2.9644 and 5.4721 Å, with angles of 90.00, 106.56 and 90.00 degrees. Symmetry generates all atoms from Zr at (0.1880, 0.2500, 0.3076), V at (0.3448, 0.2500, 0.8481), H at (0.1983, 0.7500, 0.6106) and H at (0.2791, 0.7500, 0.0410).



# 10
Here is a geometry-optimized ZrV2H2 structure from Alexandria. Energies are from GGA-PBE.

Its crystal system is tetragonal. Its total DFT energy (no corrections) is -0.5007 Ry/atom.

The space group is I4/mmm (No. 139) and the conventional cell measures 3.2829, 3.2829 and 10.0770 Å, with angles of 90.00, 90.00 and 90.00 degrees. Symmetry generates all atoms from Zr at (0.0000, 0.0000, 0.0000), V at (0.0000, 0.0000, 0.3261) and H at (0.0000, 0.5000, 0.2500).



# 11
Here is a geometry-optimized ZrVH2 structure from Alexandria. Energies are from GGA-PBE.

Its crystal system is tetragonal. The energy above the most stable polymorph in this dataset comes out at 5 meV/atom.

The space group is I-42d (No. 122) and the conventional cell measures 4.1298, 4.1298 and 9.9962 Å, with angles of 90.00, 90.00 and 90.00 degrees. Symmetry generates all atoms from Zr at (0.0000, 0.0000, 0.0000), V at (0.0000, 0.0000, 0.5000) and H at (0.1962, 0.2500, 0.6250).



# 12
Here is a geometry-optimized ZrVH2 structure from Alexandria. Energies are from GGA-PBE.

Its crystal system is cubic. The energy above the most stable polymorph in this dataset comes out at 459 meV/atom.

The space group is Fm-3m (No. 225) and the conventional cell measures 5.4549, 5.4549 and 5.4549 Å, with angles of 90.00, 90.00 and 90.00 degrees. Symmetry generates all atoms from Zr at (0.0000, 0.0000, 0.0000), V at (0.0000, 0.0000, 0.5000) and H at (0.2500, 0.2500, 0.2500).



# 13
Here is a geometry-optimized ZrV2H structure from Alexandria. Energies are from GGA-PBE.

Its crystal system is trigonal. The energy above the most stable polymorph in this dataset comes out at 330 meV/atom.

The space group is R-3m (No. 166, hexagonal axes) and the conventional cell measures 2.7912, 2.7912 and 23.5147 Å, with angles of 90.00, 90.00 and 120.00 degrees. Symmetry generates all atoms from Zr at (0.0000, 0.0000, 0.0000), V at (0.0000, 0.0000, 0.1164) and H at (0.0000, 0.0000, 0.5000).



# 14
Here is a geometry-optimized Zr3VH structure from Alexandria. Energies are from GGA-PBE.

Its crystal system is cubic. The energy above the most stable polymorph in this dataset comes out at 1215 meV/atom.

The space group is Pm-3m (No. 221) and the conventional cell measures 4.8950, 4.8950 and 4.8950 Å, with angles of 90.00, 90.00 and 90.00 degrees. Symmetry generates all atoms from Zr at (0.0000, 0.0000, 0.5000), V at (0.0000, 0.0000, 0.0000) and H at (0.5000, 0.5000, 0.5000).



# 15
Here is a geometry-optimized Zr3VH structure from Alexandria. Energies are from GGA-PBE.

Its crystal system is cubic. The energy above the most stable polymorph in this dataset comes out at 0 meV/atom.

The space group is Pm-3m (No. 221) and the conventional cell measures 4.4341, 4.4341 and 4.4341 Å, with angles of 90.00, 90.00 and 90.00 degrees. Symmetry generates all atoms from Zr at (0.0000, 0.0000, 0.5000), V at (0.5000, 0.5000, 0.5000) and H at (0.0000, 0.0000, 0.0000).



# 16
Here is a geometry-optimized ZrV2H structure from Alexandria. Energies are from GGA-PBE.

Its crystal system is tetragonal. The energy above the most stable polymorph in this dataset comes out at 0 meV/atom.

The space group is I4_1/amd (No. 141, origin choice 2) and the conventional cell measures 5.3882, 5.3882 and 7.5967 Å, with angles of 90.00, 90.00 and 90.00 degrees. Symmetry generates all atoms from Zr at (0.0000, 0.2500, 0.3750), V at (0.0000, 0.0000, 0.0000) and H at (0.0000, 0.2500, 0.8750).



# 17
Here is a geometry-optimized Zr2VH8 structure from Alexandria. Energies are from GGA-PBE.

Its crystal system is orthorhombic. Its total DFT energy (no corrections) is -0.3767 Ry/atom.

The space group is Immm (No. 71) and the conventional cell measures 3.2249, 4.1464 and 12.1792 Å, with angles of 90.00, 90.00 and 90.00 degrees. Symmetry generates all atoms from Zr at (0.0000, 0.0000, 0.1463), V at (0.0000, 0.0000, 0.5000), H at (0.0000, 0.2242, 0.3773), H at (0.0000, 0.2687, 0.0000) and H at (0.0000, 0.5000, 0.2392).



# 18
Here is a geometry-optimized ZrV2H structure from Alexandria. Energies are from GGA-PBE.

Its crystal system is cubic. The energy above the most stable polymorph in this dataset comes out at 1073 meV/atom.

The space group is Fm-3m (No. 225) and the conventional cell measures 6.1132, 6.1132 and 6.1132 Å, with angles of 90.00, 90.00 and 90.00 degrees. Symmetry generates all atoms from Zr at (0.0000, 0.0000, 0.0000), V at (0.2500, 0.2500, 0.2500) and H at (0.0000, 0.0000, 0.5000).



# 19
Here is a geometry-optimized HW structure from Alexandria. Energies are from GGA-PBE.

Its crystal system is tetragonal. The energy above the most stable polymorph in this dataset comes out at 264 meV/atom.

The space group is I4/m (No. 87) and the conventional cell measures 8.0001, 8.0001 and 2.9310 Å, with angles of 90.00, 90.00 and 90.00 degrees. Symmetry generates all atoms from H at (0.0841, 0.7809, 0.0000) and W at (0.1367, 0.3454, 0.0000).



# 20
Here is a geometry-optimized HW structure from Alexandria. Energies are from GGA-PBE.

Its crystal system is tetragonal. The energy above the most stable polymorph in this dataset comes out at 80 meV/atom.

The space group is P4/nmm (No. 129, origin choice 2) and the conventional cell measures 2.9852, 2.9852 and 4.2518 Å, with angles of 90.00, 90.00 and 90.00 degrees. Symmetry generates all atoms from H at (0.2500, 0.7500, 0.0000) and W at (0.2500, 0.2500, 0.2832).



# 21
Here is a geometry-optimized HW structure from Alexandria. Energies are from GGA-PBE.

Its crystal system is cubic. The energy above the most stable polymorph in this dataset comes out at 153 meV/atom.

The space group is F-43m (No. 216) and the conventional cell measures 4.2437, 4.2437 and 4.2437 Å, with angles of 90.00, 90.00 and 90.00 degrees. Symmetry generates all atoms from H at (0.0000, 0.0000, 0.0000) and W at (0.2500, 0.2500, 0.7500).



# 22
Here is a geometry-optimized HW structure from Alexandria. Energies are from GGA-PBE.

Its crystal system is hexagonal. The energy above the most stable polymorph in this dataset comes out at 292 meV/atom.

The space group is P6_3/m (No. 176) and the conventional cell measures 7.5632, 7.5632 and 2.6781 Å, with angles of 90.00, 90.00 and 120.00 degrees. Symmetry generates all atoms from H at (0.1833, 0.5018, 0.2500) and W at (0.0092, 0.6760, 0.2500).